# 1
VASP calculation (PBE) on AlInSe2 after structural relaxation.

Cell: 7.272 7.272 6.721 Å, 57.25 57.25 90.00°
Positions (direct):
Se 0.375 0.463 0.750
Al 0.250 0.750 0.500
Al 0.500 0.500 0.000
In 0.000 0.000 0.000
In 0.750 0.250 0.500
Se 0.537 0.125 0.250
Se 0.213 0.625 0.250
Se 0.875 0.787 0.750

Formation energy from raw total energies ... -617 meV/atom
Space group ... I-42d

***

# 2
VASP calculation (PBE) on AlInSe2 after structural relaxation.

Cell: 18.724 3.618 9.759 Å, 90.00 139.89 90.00°
Positions (direct):
In 0.877 0.750 0.978
Al 0.202 0.750 0.555
In 0.623 0.250 0.522
Se 0.918 0.750 0.732
Se 0.651 0.750 0.223
Al 0.702 0.750 0.055
Al 0.798 0.250 0.445
Al 0.298 0.250 0.945
In 0.377 0.750 0.478
Se 0.849 0.250 0.277
Se 0.151 0.750 0.723
In 0.123 0.250 0.022
Se 0.582 0.250 0.768
Se 0.418 0.750 0.232
Se 0.082 0.250 0.268
Se 0.349 0.250 0.777

Formation energy from raw total energies ... -581 meV/atom
Space group ... P2_1/m

***

# 3
VASP calculation (PBE) on AlIn2Se after structural relaxation.

Cell: 7.513 7.513 7.513 Å, 148.31 152.78 42.25°
Positions (direct):
Se 0.750 0.250 0.500
Al 0.250 0.750 0.500
In 0.568 0.568 0.000
In 0.932 0.932 0.000

Energy relative to the lowest polymorph listed for this composition ... 0.086 eV per atom
Formation energy from raw total energies ... -53 meV/atom
Space group ... Immm

***

# 4
VASP calculation (PBE) on AlIn4Se after structural relaxation.

Cell: 6.153 6.153 6.153 Å, 60.00 60.00 60.00°
Positions (direct):
Al 0.000 0.000 0.000
In 0.375 0.375 0.375
In 0.375 0.875 0.375
In 0.875 0.375 0.375
In 0.375 0.375 0.875
Se 0.750 0.750 0.750

Formation energy from raw total energies ... 258 meV/atom
Space group ... F-43m

***

# 5
VASP calculation (PBE) on AlInSe2 after structural relaxation.

Cell: 7.884 7.884 7.884 Å, 154.40 152.88 37.64°
Positions (direct):
In 0.291 0.791 0.500
Se 0.980 0.980 0.000
Al 0.550 0.550 0.000
Se 0.679 0.179 0.500

Formation energy from raw total energies ... -351 meV/atom
Space group ... Imm2

***

# 6
VASP calculation (PBE) on AlInSe2 after structural relaxation.

Cell: 4.976 4.976 3.497 Å, 90.00 90.00 90.01°
Positions (direct):
In 0.000 0.500 0.500
Al 0.500 0.000 0.500
Se 0.500 0.500 0.000
Se 0.000 0.000 0.000

Formation energy from raw total energies ... -85 meV/atom
Space group ... P4/mmm

***

# 7
VASP calculation (PBE) on AlInSe2 after structural relaxation.

Cell: 7.564 6.687 6.179 Å, 81.18 94.37 57.16°
Positions (direct):
Se 0.222 0.819 0.660
Se 0.246 0.211 0.089
Al 0.430 0.883 0.418
In 0.945 0.717 0.179
Se 0.673 0.903 0.683
In 0.822 0.271 0.790
Se 0.649 0.544 0.246
Al 0.440 0.874 0.913

Formation energy from raw total energies ... -634 meV/atom
Space group ... P1

***

# 8
VASP calculation (PBE) on AlIn2Se after structural relaxation.

Cell: 6.073 6.073 5.083 Å, 65.22 65.22 35.03°
Positions (direct):
In 0.983 0.983 0.017
In 0.517 0.517 0.483
Se 0.250 0.250 0.250
Al 0.750 0.750 0.750

Energy relative to the lowest polymorph listed for this composition ... 0.158 eV per atom
Formation energy from raw total energies ... 19 meV/atom
Space group ... Immm

***

# 9
VASP calculation (PBE) on AlIn2Se after structural relaxation.

Cell: 3.608 5.587 5.584 Å, 63.93 90.00 90.00°
Positions (direct):
Se 0.000 0.540 0.538
Al 0.500 0.722 0.724
In 0.500 0.263 0.264
In 0.000 0.975 0.973

Energy relative to the lowest polymorph listed for this composition ... 0.000 eV per atom
Formation energy from raw total energies ... -139 meV/atom
Space group ... Pm

***

# 10
VASP calculation (PBE) on AlInSe2 after structural relaxation.

Cell: 6.999 9.615 3.935 Å, 90.02 73.67 113.37°
Positions (direct):
Al 0.642 0.169 0.750
Se 0.255 0.134 0.943
In 0.299 0.613 0.920
Se 0.803 0.324 0.170
Se 0.053 0.728 0.544
Al 0.062 0.980 0.540
Se 0.686 0.936 0.729
In 0.695 0.598 0.223

Formation energy from raw total energies ... -642 meV/atom
Space group ... P1

***

# 11
VASP calculation (PBE) on AlIn2Se after structural relaxation.

Cell: 5.178 5.178 5.178 Å, 60.00 60.00 60.00°
Positions (direct):
In 0.750 0.750 0.750
Al 0.000 0.000 0.000
In 0.250 0.250 0.250
Se 0.500 0.500 0.500

Energy relative to the lowest polymorph listed for this composition ... 0.282 eV per atom
Formation energy from raw total energies ... 143 meV/atom
Space group ... Fm-3m

***

# 12
VASP calculation (PBE) on AlIn2Se after structural relaxation.

Cell: 3.688 5.090 5.090 Å, 90.00 90.00 90.00°
Positions (direct):
In 0.000 0.000 0.000
Al 0.500 0.000 0.500
Se 0.500 0.500 0.000
In 0.000 0.500 0.500

Energy relative to the lowest polymorph listed for this composition ... 0.175 eV per atom
Formation energy from raw total energies ... 35 meV/atom
Space group ... P4/mmm

***

# 13
VASP calculation (PBE) on AlInSe2 after structural relaxation.

Cell: 4.267 4.267 8.397 Å, 90.00 90.00 129.40°
Positions (direct):
Se 0.000 0.000 0.449
In 0.500 0.500 0.750
Al 0.500 0.500 0.250
Se 0.000 0.000 0.051

Formation energy from raw total energies ... -316 meV/atom
Space group ... Cmmm

***

# 14
VASP calculation (PBE) on AlInSe2 after structural relaxation.

Cell: 8.224 14.603 3.893 Å, 90.00 90.00 90.00°
Positions (direct):
Se 0.125 0.732 0.563
In 0.088 0.156 0.563
Se 0.375 0.232 0.063
Al 0.502 0.090 0.062
In 0.412 0.656 0.063
Se 0.875 0.268 0.063
In 0.912 0.844 0.063
Se 0.326 0.951 0.062
In 0.588 0.344 0.563
Se 0.625 0.768 0.563
Al 0.998 0.590 0.562
Se 0.174 0.451 0.562
Se 0.674 0.049 0.562
Al 0.002 0.410 0.062
Se 0.826 0.549 0.062
Al 0.498 0.910 0.562

Formation energy from raw total energies ... -625 meV/atom
Space group ... Pnma

***

# 15
VASP calculation (PBE) on AlInSe2 after structural relaxation.

Cell: 10.833 10.833 5.086 Å, 90.00 90.00 155.78°
Positions (direct):
In 0.324 0.676 0.250
Se 0.175 0.825 0.250
Se 0.825 0.175 0.750
Al 0.066 0.934 0.250
Se 0.952 0.048 0.250
Al 0.934 0.066 0.750
Se 0.048 0.952 0.750
In 0.676 0.324 0.750

Formation energy from raw total energies ... -349 meV/atom
Space group ... Cmcm

***

# 16
VASP calculation (PBE) on AlInSe3 after structural relaxation.

Cell: 3.895 7.060 11.135 Å, 94.10 90.00 106.01°
Positions (direct):
Se 0.898 0.797 0.264
In 0.344 0.688 0.110
Se 0.856 0.711 0.926
Se 0.144 0.289 0.074
Se 0.102 0.203 0.736
Se 0.360 0.719 0.617
Al 0.079 0.159 0.282
Se 0.640 0.281 0.383
Al 0.921 0.841 0.718
In 0.656 0.312 0.890

Formation energy from raw total energies ... -622 meV/atom
Space group ... C2/m

***

# 17
VASP calculation (PBE) on AlInSe2 after structural relaxation.

Cell: 3.428 4.752 5.439 Å, 90.00 90.00 90.00°
Positions (direct):
In 0.000 0.500 0.500
Al 0.500 0.000 0.500
Se 0.500 0.500 0.000
Se 0.000 0.000 0.000

Formation energy from raw total energies ... 147 meV/atom
Space group ... Pmmm

***

# 18
VASP calculation (PBE) on AlInSe2 after structural relaxation.

Cell: 3.944 3.944 9.061 Å, 90.00 90.00 120.00°
Positions (direct):
Se 0.667 0.333 0.350
Se 0.333 0.667 0.723
In 0.000 0.000 0.915
Al 0.333 0.667 0.467

Formation energy from raw total energies ... -582 meV/atom
Space group ... P3m1

***

# 19
VASP calculation (PBE) on AlInSe3 after structural relaxation.

Cell: 5.314 5.314 5.314 Å, 90.00 90.00 90.00°
Positions (direct):
Al 0.500 0.500 0.500
In 0.000 0.000 0.000
Se 0.500 0.000 0.000
Se 0.000 0.000 0.500
Se 0.000 0.500 0.000

Formation energy from raw total energies ... 365 meV/atom
Space group ... Pm-3m

***

# 20
VASP calculation (PBE) on AlInSe3 after structural relaxation.

Cell: 4.988 4.988 4.988 Å, 90.00 90.00 90.00°
Positions (direct):
Al 0.000 0.000 0.000
Se 0.500 0.000 0.000
In 0.500 0.500 0.500
Se 0.000 0.500 0.000
Se 0.000 0.000 0.500

Formation energy from raw total energies ... -165 meV/atom
Space group ... Pm-3m

***

# 21
VASP calculation (PBE) on AlIn2Se after structural relaxation.

Cell: 3.722 4.886 5.276 Å, 90.00 90.00 90.00°
Positions (direct):
In 0.500 0.500 0.000
In 0.000 0.000 0.000
Al 0.000 0.500 0.500
Se 0.500 0.000 0.500

Energy relative to the lowest polymorph listed for this composition ... 0.187 eV per atom
Formation energy from raw total energies ... 47 meV/atom
Space group ... Pmmm

***

# 22
VASP calculation (PBE) on AlIn2Se after structural relaxation.

Cell: 3.734 3.734 6.868 Å, 90.00 90.00 89.95°
Positions (direct):
In 0.000 0.000 0.005
In 0.000 0.000 0.495
Al 0.500 0.500 0.750
Se 0.500 0.500 0.250

Energy relative to the lowest polymorph listed for this composition ... 0.138 eV per atom
Formation energy from raw total energies ... -1 meV/atom
Space group ... P4/mmm

***

# 23
VASP calculation (PBE) on AlIn3Se4 after structural relaxation.

Cell: 6.588 6.726 10.722 Å, 90.00 90.00 90.00°
Positions (direct):
Se 0.627 0.229 0.000
Se 0.106 0.313 0.799
Se 0.127 0.771 0.500
Se 0.106 0.313 0.201
Al 0.495 0.809 0.500
Al 0.995 0.191 0.000
In 0.530 0.280 0.749
In 0.030 0.720 0.249
Se 0.606 0.687 0.299
In 0.530 0.280 0.251
Se 0.606 0.687 0.701
Se 0.071 0.836 0.000
In 0.551 0.765 0.000
Se 0.571 0.164 0.500
In 0.051 0.235 0.500
In 0.030 0.720 0.751

Formation energy from raw total energies ... -508 meV/atom
Space group ... Pmn2_1

***

# 24
VASP calculation (PBE) on Al4InSe after structural relaxation.

Cell: 5.532 5.532 5.532 Å, 60.00 60.00 60.00°
Positions (direct):
Se 0.000 0.000 0.000
Al 0.375 0.874 0.375
In 0.750 0.750 0.750
Al 0.375 0.375 0.874
Al 0.375 0.375 0.375
Al 0.874 0.375 0.375

Formation energy from raw total energies ... 174 meV/atom
Space group ... F-43m

***

# 25
VASP calculation (PBE) on AlInSe2 after structural relaxation.

Cell: 3.754 3.754 8.755 Å, 90.00 90.00 120.00°
Positions (direct):
Al 0.000 0.000 0.998
Se 0.667 0.333 0.183
In 0.333 0.667 0.421
Se 0.333 0.667 0.853

Formation energy from raw total energies ... -580 meV/atom
Space group ... P3m1

***

# 26
VASP calculation (PBE) on AlInSe2 after structural relaxation.

Cell: 3.428 3.428 7.429 Å, 90.00 90.00 90.00°
Positions (direct):
In 0.500 0.500 0.750
Al 0.500 0.500 0.250
Se 0.000 0.000 0.042
Se 0.000 0.000 0.458

Formation energy from raw total energies ... -147 meV/atom
Space group ... P4/mmm

***

# 27
VASP calculation (PBE) on AlIn2Se after structural relaxation.

Cell: 5.073 5.073 3.797 Å, 90.00 90.00 100.50°
Positions (direct):
Se 0.500 0.000 0.500
In 0.000 0.000 0.000
Al 0.000 0.500 0.500
In 0.500 0.500 0.000

Energy relative to the lowest polymorph listed for this composition ... 0.160 eV per atom
Formation energy from raw total energies ... 21 meV/atom
Space group ... Cmmm